## KBaSb2 (PBE)

Data for a relaxed KBaSb2 crystal.

a = 3.730 Å, b = 3.730 Å, c = 10.193 Å
α = 90.00°, β = 90.00°, γ = 89.99°
Positions (direct):
Sb  0.000  0.000  0.004
Ba  0.500  0.500  0.250
Sb  0.000  0.000  0.496
K  0.500  0.500  0.750

Computed properties:
crystal system: tetragonal
energy: -3.368 eV per atom
relative energy among the computed polymorphs: 96 meV per atom
energy relative to the elements, uncorrected: -0.552 eV/atom
space-group type: P4/mmm